Compound: CdP2Ir
Source: the Alexandria database
Functional: PBE
Structure: relaxed

Cell lengths 7.010, 7.010, 7.010 Å; angles 155.91, 149.37, 39.34 degrees
Sites, in units of the cell vectors:
P1 0.777 0.277 0.500
P2 0.068 0.068 0.000
Cd1 0.444 0.444 0.000
Ir1 0.211 0.711 0.500

The value obtained for the total energy is -5.02 eV/atom. As for the space group: Imm2 (44). The calculation puts the volume at 72 Å³/cell. As for the formation energy: 0.127 eV per atom.